Below is crystalline CeNd4Zn5 at its relaxed geometry, with properties calculated at the PBE level.

The structure belongs to space group P4/mmm (No. 123); the cell edges are 3.669, 3.669 and 18.417 Å and the angles 90.00°, 90.00° and 90.00°. The distinct sites, in fractional coordinates, are Ce at (0.000, 0.000, 0.000), Nd at (0.000, 0.000, 0.198), Nd at (0.000, 0.000, 0.400), Zn at (0.500, 0.500, 0.097), Zn at (0.500, 0.500, 0.299) and Zn at (0.500, 0.500, 0.500).

As for the energy of formation: -26.9 kJ per mole of atoms. As for the crystal system: tetragonal. The total moment comes out at 0.07 μB per atom. The calculated total energy comes out at -3.416 eV per atom.